The following is a DFT calculation (PBE) of a relaxed LiAlMo2 crystal.

Unit cell a=4.3847 b=4.3847 c=4.3847 alpha=60.00 beta=60.00 gamma=60.00
Fractional positions:
1 Mo 0.0000 0.0000 0.0000
2 Mo 0.2500 0.2500 0.2500
3 Li 0.7500 0.7500 0.7500
4 Al 0.5000 0.5000 0.5000

Computed properties:
E: -6.774 eV per atom
Crystal system: cubic
Calculated volume: 14.90 Å³ per atom
Size of the total moment: 0.00 μB/cell